Entry 1:
! HgSb2Se (PBE, relaxed); values from VASP
! - ΔE to the lowest computed polymorph: 210 meV/atom
! - Density of states at the Fermi level: 0.629 states/eV per atom
! - ΔE_f (raw): 0.83 eV/f.u.
&SYSTEM
  ibrav = 0, nat = 4, ntyp = 3
/
ATOMIC_SPECIES
Hg 200.59 Hg.upf
Sb 121.76 Sb.upf
Se 78.96 Se.upf
CELL_PARAMETERS angstrom
3.580 0.000 0.000
0.000 3.580 0.000
0.000 0.000 7.854
ATOMIC_POSITIONS crystal
Hg 0.500 0.500 0.750
Sb 0.000 0.000 0.022
Sb 0.000 0.000 0.478
Se 0.500 0.500 0.250

=====

Entry 2:
! YMg2Rh (PBE, relaxed); values from VASP
! - Density of states at the Fermi level: 0.413 states/eV per atom
! - ΔE_f: -0.311 eV/atom
&SYSTEM
  ibrav = 0, nat = 4, ntyp = 3
/
ATOMIC_SPECIES
Mg 24.30 Mg.upf
Rh 102.91 Rh.upf
Y 88.91 Y.upf
CELL_PARAMETERS angstrom
-1.834 4.139 3.245
-2.391 -1.558 4.783
4.748 -1.183 -2.662
ATOMIC_POSITIONS crystal
Mg 0.000 0.000 0.000
Mg 0.500 0.500 0.000
Rh 0.250 0.750 0.500
Y 0.750 0.250 0.500

=====

Entry 3:
! Ti4Nb2B (PBE, relaxed); values from VASP
! - Density of states at the Fermi level: 1.153 states/eV per atom
! - ΔE_f: 0.294 eV/atom
&SYSTEM
  ibrav = 0, nat = 7, ntyp = 3
/
ATOMIC_SPECIES
Nb 92.91 Nb.upf
B 10.81 B.upf
Ti 47.87 Ti.upf
CELL_PARAMETERS angstrom
-3.360 1.809 1.553
-2.287 -1.687 -2.983
-4.007 -5.723 3.463
ATOMIC_POSITIONS crystal
Nb 0.347 0.347 0.306
Nb 0.653 0.653 0.694
B 0.000 0.000 0.000
Ti 0.148 0.148 0.703
Ti 0.852 0.852 0.297
Ti 0.000 0.500 0.000
Ti 0.500 0.000 0.000

=====

Entry 4:
! Ba4HSe3 (PBE, relaxed); values from VASP
! - Density of states at the Fermi level: 0.529 states/eV per atom
! - Total energy: -4.243 eV per atom
&SYSTEM
  ibrav = 0, nat = 8, ntyp = 3
/
ATOMIC_SPECIES
Ba 137.33 Ba.upf
H 1.01 H.upf
Se 78.96 Se.upf
CELL_PARAMETERS angstrom
-2.355 -1.203 -3.815
2.283 -1.044 -3.904
0.549 -15.117 1.604
ATOMIC_POSITIONS crystal
Ba 0.628 0.628 0.116
Ba 0.876 0.876 0.372
Ba 0.372 0.372 0.884
Ba 0.124 0.124 0.628
H 0.000 0.000 0.000
Se 0.746 0.746 0.763
Se 0.500 0.500 0.500
Se 0.254 0.254 0.237

=====

Entry 5:
! Li2MnCdCo (PBE, relaxed); values from VASP
! - Density of states at the Fermi level: 2.483 states/eV per atom
! - ΔE_f: 1.203 eV/atom
&SYSTEM
  ibrav = 0, nat = 5, ntyp = 4
/
ATOMIC_SPECIES
Mn 54.94 Mn.upf
Co 58.93 Co.upf
Li 6.94 Li.upf
Cd 112.41 Cd.upf
CELL_PARAMETERS angstrom
4.271 0.000 0.000
0.000 4.848 0.000
0.000 0.000 4.271
ATOMIC_POSITIONS crystal
Mn 0.500 0.500 0.500
Co 0.000 0.000 0.000
Li 0.000 0.000 0.500
Li 0.500 0.000 0.000
Cd 0.000 0.500 0.000

=====

Entry 6:
! GdHoAlPb (PBE, relaxed); values from VASP
! - Density of states at the Fermi level: 0.680 states/eV per atom
! - ΔE_f: -0.341 eV/atom
&SYSTEM
  ibrav = 0, nat = 4, ntyp = 4
/
ATOMIC_SPECIES
Pb 207.20 Pb.upf
Gd 157.25 Gd.upf
Ho 164.93 Ho.upf
Al 26.98 Al.upf
CELL_PARAMETERS angstrom
5.305 0.000 0.000
2.652 4.594 0.000
2.652 1.531 4.331
ATOMIC_POSITIONS crystal
Pb 0.250 0.250 0.250
Gd 0.000 0.000 0.000
Ho 0.500 0.500 0.500
Al 0.750 0.750 0.750

=====

Entry 7:
! Mg2Sc2Pb (PBE, relaxed); values from VASP
! - ΔE to the lowest computed polymorph: 75 meV/atom
! - Density of states at the Fermi level: 1.210 states/eV per atom
! - ΔE_f: 0.052 eV/atom
&SYSTEM
  ibrav = 0, nat = 10, ntyp = 3
/
ATOMIC_SPECIES
Pb 207.20 Pb.upf
Sc 44.96 Sc.upf
Mg 24.30 Mg.upf
CELL_PARAMETERS angstrom
-3.616 4.376 -5.546
-2.338 -6.621 -3.700
-3.364 -0.026 2.173
ATOMIC_POSITIONS crystal
Pb 0.000 0.000 0.000
Pb 0.500 0.500 0.000
Sc 0.353 0.853 0.000
Sc 0.853 0.647 0.000
Sc 0.647 0.147 0.000
Sc 0.147 0.353 0.000
Mg 0.151 0.651 0.500
Mg 0.651 0.849 0.500
Mg 0.849 0.349 0.500
Mg 0.349 0.151 0.500

=====

Entry 8:
! LaZrNbCd2 (PBE, relaxed); values from VASP
! - Density of states at the Fermi level: 1.794 states/eV per atom
! - ΔE_f: 1.421 eV/atom
&SYSTEM
  ibrav = 0, nat = 5, ntyp = 4
/
ATOMIC_SPECIES
Nb 92.91 Nb.upf
Cd 112.41 Cd.upf
Zr 91.22 Zr.upf
La 138.91 La.upf
CELL_PARAMETERS angstrom
-3.752 -3.832 0.228
3.259 -3.347 -2.638
2.027 -1.707 4.669
ATOMIC_POSITIONS crystal
Nb 0.500 0.500 0.500
Cd 0.000 0.000 0.500
Cd 0.500 0.000 0.000
Zr 0.000 0.000 0.000
La 0.000 0.500 0.000